(1)
! BeVRh PBE optimized geometry; values from VASP
&SYSTEM
  ibrav = 0, nat = 6, ntyp = 3
/
ATOMIC_SPECIES
Rh 102.91 Rh.upf
Be 9.01 Be.upf
V 50.94 V.upf
ATOMIC_POSITIONS crystal
Rh 0.9235 0.3201 0.8360
Rh 0.0765 0.6799 0.1640
Be 0.6128 0.8750 0.8508
Be 0.3872 0.1250 0.1492
V 0.2945 0.7581 0.5354
V 0.7055 0.2419 0.4646
CELL_PARAMETERS angstrom
-2.2987 -0.7356 -1.4500
-3.0296 -1.5193 2.9907
-3.5665 4.7796 0.7529
! **ΔH_f (0 K)**: -0.3843 eV per atom
! **Excess energy over the best structure of this formula in the dataset**: 0.17 eV per formula unit
! **DFT total energy**: -7.116 eV/atom

=====

(2)
! Be2VRh3 PBE optimized geometry; values from VASP
&SYSTEM
  ibrav = 0, nat = 6, ntyp = 3
/
ATOMIC_SPECIES
Be 9.01 Be.upf
V 50.94 V.upf
Rh 102.91 Rh.upf
ATOMIC_POSITIONS crystal
Be 0.5000 0.5000 0.1483
Be 0.5000 0.5000 0.8517
V 0.5000 0.5000 0.5000
Rh 0.0000 0.0000 0.0000
Rh 0.0000 0.0000 0.6857
Rh 0.0000 0.0000 0.3143
CELL_PARAMETERS angstrom
-2.2693 -0.0402 -1.7036
-1.6920 -0.2837 2.2605
-0.6269 8.7457 0.6285
! **ΔH_f (0 K)**: -0.5760 eV per atom
! **DFT total energy**: -7.014 eV/atom

=====

(3)
! BeVRh PBE optimized geometry; values from VASP
&SYSTEM
  ibrav = 0, nat = 12, ntyp = 3
/
ATOMIC_SPECIES
Rh 102.91 Rh.upf
Be 9.01 Be.upf
V 50.94 V.upf
ATOMIC_POSITIONS crystal
Rh 0.5000 0.8440 0.5000
Rh 0.5000 0.3440 0.0000
Rh 0.5000 0.1560 0.5000
Rh 0.5000 0.6560 0.0000
Be 0.0000 0.2380 0.0000
Be 0.0000 0.7380 0.5000
Be 0.0000 0.7620 0.0000
Be 0.0000 0.2620 0.5000
V 0.7909 0.0000 0.1884
V 0.2091 0.5000 0.3116
V 0.7909 0.5000 0.6884
V 0.2091 0.0000 0.8116
CELL_PARAMETERS angstrom
-1.5276 1.2172 3.9034
-7.6043 -2.2177 -2.2844
1.4265 -4.2435 -0.6291
! **ΔH_f (0 K)**: -0.3388 eV per atom
! **Excess energy over the best structure of this formula in the dataset**: 0.31 eV per formula unit
! **DFT total energy**: -7.071 eV/atom

=====

(4)
! BeVRh PBE optimized geometry; values from VASP
&SYSTEM
  ibrav = 0, nat = 6, ntyp = 3
/
ATOMIC_SPECIES
Be 9.01 Be.upf
V 50.94 V.upf
Rh 102.91 Rh.upf
ATOMIC_POSITIONS crystal
Be 0.2500 0.5400 0.9201
Be 0.7500 0.4600 0.0799
V 0.2500 0.7062 0.5875
V 0.7500 0.2938 0.4125
Rh 0.2500 0.9066 0.1868
Rh 0.7500 0.0934 0.8132
CELL_PARAMETERS angstrom
3.4621 0.0000 0.0000
0.0000 2.7763 0.0000
0.0000 1.3882 7.3578
! **ΔH_f (0 K)**: -0.3530 eV per atom
! **Excess energy over the best structure of this formula in the dataset**: 0.26 eV per formula unit
! **DFT total energy**: -7.085 eV/atom

=====

(5)
! BeVRh PBE optimized geometry; values from VASP
&SYSTEM
  ibrav = 0, nat = 3, ntyp = 3
/
ATOMIC_SPECIES
Be 9.01 Be.upf
Rh 102.91 Rh.upf
V 50.94 V.upf
ATOMIC_POSITIONS crystal
Be 0.6233 0.6233 0.2466
Rh 0.2713 0.2713 0.5426
V 0.9554 0.9554 0.9108
CELL_PARAMETERS angstrom
2.8824 0.0000 0.0000
0.0000 2.8824 0.0000
-1.4412 -1.4412 4.2768
! **ΔH_f (0 K)**: -0.3514 eV per atom
! **Excess energy over the best structure of this formula in the dataset**: 0.27 eV per formula unit
! **DFT total energy**: -7.084 eV/atom

=====

(6)
! BeVZnRh PBE optimized geometry; values from VASP
&SYSTEM
  ibrav = 0, nat = 4, ntyp = 4
/
ATOMIC_SPECIES
V 50.94 V.upf
Rh 102.91 Rh.upf
Be 9.01 Be.upf
Zn 65.41 Zn.upf
ATOMIC_POSITIONS crystal
V 0.2500 0.2500 0.2500
Rh 0.0000 0.0000 0.0000
Be 0.5000 0.5000 0.5000
Zn 0.7500 0.7500 0.7500
CELL_PARAMETERS angstrom
4.1441 0.0000 0.0000
2.0720 3.5889 0.0000
2.0720 1.1963 3.3836
! **ΔH_f (0 K)**: -0.2070 eV per atom
! **DFT total energy**: -5.575 eV/atom

=====

Q: Among the records above, which one has the lowest DFT total energy?
A: number 1

=====

Q: What is the formula in the sixth record?
A: BeVZnRh

=====

Please write out number 1 again, unchanged.
! BeVRh PBE optimized geometry; values from VASP
&SYSTEM
  ibrav = 0, nat = 6, ntyp = 3
/
ATOMIC_SPECIES
Rh 102.91 Rh.upf
Be 9.01 Be.upf
V 50.94 V.upf
ATOMIC_POSITIONS crystal
Rh 0.9235 0.3201 0.8360
Rh 0.0765 0.6799 0.1640
Be 0.6128 0.8750 0.8508
Be 0.3872 0.1250 0.1492
V 0.2945 0.7581 0.5354
V 0.7055 0.2419 0.4646
CELL_PARAMETERS angstrom
-2.2987 -0.7356 -1.4500
-3.0296 -1.5193 2.9907
-3.5665 4.7796 0.7529
! **ΔH_f (0 K)**: -0.3843 eV per atom
! **Excess energy over the best structure of this formula in the dataset**: 0.17 eV per formula unit
! **DFT total energy**: -7.116 eV/atom